Compound: Tl2RuAu
Source: Alexandria
Functional: PBE
Structure: relaxed

Values from the calculation:
The polymorph energy (0 for the lowest one) is 168 meV/atom. For the formation enthalpy at 0 K, the calculation gives 0.5045 eV per atom. For the density of states at the Fermi level, the calculation gives 2.9 states/eV per cell.

Unit cell a=5.194 b=5.194 c=5.194 alpha=130.08 beta=130.13 gamma=73.24
Fractional coordinates of all 4 atoms:
1 Au 0.750 0.250 0.500
2 Ru 0.250 0.750 0.500
3 Tl 0.500 0.500 0.000
4 Tl 0.000 0.000 0.000

=====

Compound: AcPdI6
Source: Alexandria
Functional: PBE
Structure: relaxed

Values from the calculation:
For the density of states at the Fermi level, the calculation gives 3.5 states/eV per cell. The value obtained for the energy relative to the elements, uncorrected is -697 meV/atom.

Unit cell a=7.276 b=7.746 c=8.042 alpha=64.98 beta=63.00 gamma=57.69
Site moments in Bohr magnetons follow the coordinates.
Fractional coordinates of all 8 atoms:
1 Ac 0.500 0.500 0.500  0.01
2 I 0.409 0.781 0.771  0.01
3 I 0.938 0.606 0.236  0.10
4 I 0.062 0.394 0.764  0.10
5 I 0.591 0.219 0.229  0.01
6 I 0.784 0.049 0.772  0.02
7 I 0.216 0.951 0.228  0.02
8 Pd 0.000 0.000 0.000  0.27

=====

Compound: GaSn2CBr
Source: Alexandria
Functional: PBE
Structure: relaxed

Values from the calculation:
For the density of states at the Fermi level, the calculation gives 2.7 states/eV per cell. The value obtained for the energy relative to the elements, uncorrected is 1504 meV/atom.

Unit cell a=5.409 b=5.143 c=5.409 alpha=90.00 beta=90.00 gamma=90.00
Site moments in Bohr magnetons follow the coordinates.
Fractional coordinates of all 5 atoms:
1 Ga 0.000 0.000 0.000  -0.01
2 C 0.500 0.500 0.500  0.93
3 Br 0.000 0.500 0.000  0.06
4 Sn 0.000 0.000 0.500  -0.05
5 Sn 0.500 0.000 0.000  -0.02

=====

Compound: SrMgCu3
Source: Alexandria
Functional: PBE
Structure: relaxed

Values from the calculation:
The polymorph energy (0 for the lowest one) is 0 meV/atom. For the formation enthalpy at 0 K, the calculation gives 0.3469 eV per atom. For the density of states at the Fermi level, the calculation gives 2.0 states/eV per cell.

Unit cell a=4.830 b=4.830 c=4.830 alpha=90.00 beta=90.00 gamma=90.00
Fractional coordinates of all 5 atoms:
1 Mg 0.000 0.000 0.000
2 Cu 0.000 0.500 0.000
3 Cu 0.000 0.000 0.500
4 Cu 0.500 0.000 0.000
5 Sr 0.500 0.500 0.500

=====

Table of calculated density (g cm⁻³), in record order: 14.66, 5.49, 4.40, 4.46